Mn3VCu2P6O24: optimized geometry, PBE with a Hubbard U.

Computed properties:
final energy = -7.0611 eV per atom

Cell lengths 8.5692, 8.5692, 20.8617 Å; angles 90.00, 90.00, 120.00 degrees
Space group R3 (No. 146, hexagonal axes)
Symmetry-distinct sites (fractional):
1 Mn 0.0000 0.0000 0.0000 (multiplicity 3)
2 Mn 0.0000 0.0000 0.2156 (multiplicity 3)
3 Mn 0.0000 0.0000 0.5010 (multiplicity 3)
4 V 0.0000 0.0000 0.7161 (multiplicity 3)
5 Cu 0.0000 0.0000 0.3589 (multiplicity 3)
6 Cu 0.0000 0.0000 0.8575 (multiplicity 3)
7 P 0.0003 0.7074 0.6083 (multiplicity 9)
8 P 0.0015 0.2908 0.1074 (multiplicity 9)
9 O 0.0009 0.8014 0.5463 (multiplicity 9)
10 O 0.0020 0.1944 0.0458 (multiplicity 9)
11 O 0.0040 0.8111 0.6690 (multiplicity 9)
12 O 0.0179 0.1829 0.7779 (multiplicity 9)
13 O 0.0225 0.8382 0.2827 (multiplicity 9)
14 O 0.1374 0.4690 0.8362 (multiplicity 9)
15 O 0.1713 0.6866 0.6029 (multiplicity 9)
16 O 0.1716 0.4825 0.1012 (multiplicity 9)